No. 1
Density functional theory data (PBE) for an optimized crystal structure of KIrRu.

a = 4.9617 Å, b = 4.9617 Å, c = 5.1774 Å
α = 90.00°, β = 90.00°, γ = 120.00°
Closest atoms and distances in Å follow each position.
Space group P6_3/mmc (No. 194)
Symmetry-distinct sites (fractional):
K 0.0000 0.0000 0.0000 x2  2 K 2.59
Ir 0.3333 0.6667 0.2500 x2  5 Ru 2.59-2.86
Ru 0.3333 0.6667 0.7500 x2  5 Ir 2.59-2.86

Output
energy of formation: 1.216 eV/atom

No. 2
Density functional theory data (PBE) for an optimized crystal structure of Pt3BrCl.

a = 4.8183 Å, b = 4.8183 Å, c = 4.8183 Å
α = 90.00°, β = 90.00°, γ = 90.00°
Closest atoms and distances in Å follow each position.
Space group Pm-3m (No. 221)
Symmetry-distinct sites (fractional):
Pt 0.0000 0.0000 0.5000 x3  2 Br 2.41
Br 0.0000 0.0000 0.0000 x1  6 Pt 2.41
Cl 0.5000 0.5000 0.5000 x1  12 Pt 3.41

Output
uncorrected formation energy: 1279 meV/atom

No. 3
Density functional theory data (PBE) for an optimized crystal structure of Ac5CdHg2.

a = 9.2100 Å, b = 9.2100 Å, c = 13.8802 Å
α = 90.00°, β = 90.00°, γ = 90.00°
Closest atoms and distances in Å follow each position.
Space group I4/mcm (No. 140)
Symmetry-distinct sites (fractional):
Ac 0.0000 0.0000 0.0000 x4  2 Cd 3.47, 4 Hg 3.56
Ac 0.1541 0.3459 0.1473 x16  3 Hg 3.38-3.39, 2 Cd 3.77
Cd 0.0000 0.0000 0.2500 x4  10 Ac 3.47-3.77
Hg 0.1397 0.3603 0.5000 x8  8 Ac 3.38-3.56, 1 Hg 3.64

Output
energy of formation: -0.280 eV/atom

No. 4
Density functional theory data (PBE) for an optimized crystal structure of DyScP.

a = 3.7861 Å, b = 3.7861 Å, c = 6.0713 Å
α = 90.00°, β = 90.00°, γ = 120.00°
Closest atoms and distances in Å follow each position.
Space group P3m1 (No. 156)
Symmetry-distinct sites (fractional):
Dy 0.0000 0.0000 0.0000 x1  3 P 2.75
Sc 0.3333 0.6667 0.5020 x1  3 P 2.59
P 0.6667 0.3333 0.2738 x1  3 Sc 2.59, 3 Dy 2.75

Output
energy of formation: -0.921 eV/atom

No. 5
Density functional theory data (PBE) for an optimized crystal structure of Ga4Te7Pb.

a = 17.0152 Å, b = 7.1314 Å, c = 6.9615 Å
α = 90.00°, β = 90.00°, γ = 90.00°
Closest atoms and distances in Å follow each position.
Space group Pmn2_1 (No. 31)
Symmetry-distinct sites (fractional):
Ga 0.1237 0.1486 0.0000 x4  4 Te 2.63-2.69
Ga 0.2483 0.3390 0.4868 x4  4 Te 2.63-2.72
Te 0.0000 0.3254 0.8421 x2  2 Ga 2.69
Te 0.1108 0.2120 0.3714 x4  2 Ga 2.63
Te 0.1158 0.7994 0.8711 x4  2 Ga 2.64-2.65
Te 0.2415 0.6996 0.3746 x4  3 Ga 2.68-2.72
Pb 0.0000 0.5903 0.1836 x2  3 Te 3.04-3.29

Output
uncorrected formation energy: -339 meV/atom

No. 6
Density functional theory data (PBE) for an optimized crystal structure of GeSbPd2.

a = 7.6465 Å, b = 6.7897 Å, c = 5.7949 Å
α = 90.00°, β = 91.20°, γ = 90.00°
Closest atoms and distances in Å follow each position.
Space group P2_1/c (No. 14)
Symmetry-distinct sites (fractional):
Ge 0.1166 0.0672 0.3100 x4  6 Pd 2.53-2.76
Sb 0.3726 0.5890 0.2182 x4  6 Pd 2.74-2.91
Pd 0.1037 0.6952 0.5009 x4  4 Ge 2.53-2.76, 2 Sb 2.75-2.80
Pd 0.3431 0.2192 0.0195 x4  2 Ge 2.55-2.65, 3 Sb 2.74-2.77

Output
uncorrected formation energy: -414 meV/atom

No. 7
Density functional theory data (PBE) for an optimized crystal structure of Hf3Ir2.

a = 10.4518 Å, b = 3.4370 Å, c = 11.0039 Å
α = 90.00°, β = 90.00°, γ = 90.00°
Closest atoms and distances in Å follow each position.
Space group Pnma (No. 62)
Symmetry-distinct sites (fractional):
Hf 0.0573 0.2500 0.1313 x4  5 Ir 2.74-2.75
Hf 0.1310 0.7500 0.5486 x4  5 Ir 2.73-2.75
Hf 0.2147 0.2500 0.7829 x4  4 Ir 2.71-2.81
Ir 0.0196 0.7500 0.3224 x4  7 Hf 2.71-2.81
Ir 0.1811 0.7500 0.9750 x4  7 Hf 2.73-2.75

Output
energy of formation: -0.717 eV/atom

No. 8
Density functional theory data (PBE) for an optimized crystal structure of PmSmCo.

a = 12.5246 Å, b = 3.7339 Å, c = 8.2903 Å
α = 90.00°, β = 126.81°, γ = 90.00°
Closest atoms and distances in Å follow each position.
Space group C2/m (No. 12)
Symmetry-distinct sites (fractional):
Pm 0.0780 0.0000 0.3858 x4  4 Co 2.82-2.96
Sm 0.1771 0.5000 0.0863 x4  3 Co 2.80-2.87
Co 0.1167 0.5000 0.6933 x4  1 Co 2.76, 3 Sm 2.80-2.87, 4 Pm 2.82-2.96

Output
energy of formation: -0.088 eV/atom

> What is the formula in the second record?

Pt3BrCl